! Ce4ZnRh12, optimized geometry, DFT PBE; values from VASP
&SYSTEM
  ibrav = 0, nat = 17, ntyp = 3
/
ATOMIC_SPECIES
Ce 140.12 Ce.upf
Zn 65.41 Zn.upf
Rh 102.91 Rh.upf
ATOMIC_POSITIONS angstrom
Ce 2.086 2.086 -2.086
Ce 2.086 -2.086 2.086
Ce -2.086 2.086 2.086
Ce 2.086 2.086 2.086
Zn 0.000 0.000 0.000
Rh 2.416 0.000 0.000
Rh 5.928 0.000 0.000
Rh 4.172 2.086 0.000
Rh 4.172 0.000 2.086
Rh 0.000 2.416 0.000
Rh 0.000 0.000 2.416
Rh 2.086 4.172 0.000
Rh 2.086 0.000 4.172
Rh 0.000 5.928 0.000
Rh 0.000 0.000 5.928
Rh 0.000 4.172 2.086
Rh 0.000 2.086 4.172
CELL_PARAMETERS angstrom
-4.172 4.172 4.172
4.172 -4.172 4.172
4.172 4.172 -4.172
! Mass density: 10.64 Mg/m³
! Symmetry: Im-3m, No. 229
! Formation enthalpy at 0 K: -54.9 kJ per mole of atoms
! Total magnetization: 0.000 μB/atom



! LaPm3Sm3, optimized geometry, DFT PBE; values from VASP
&SYSTEM
  ibrav = 0, nat = 14, ntyp = 3
/
ATOMIC_SPECIES
La 138.91 La.upf
Pm 145.00 Pm.upf
Sm 150.36 Sm.upf
ATOMIC_POSITIONS angstrom
La 0.000 7.373 0.935
La 6.385 3.686 2.806
Pm -0.894 3.482 2.806
Pm -2.922 10.093 2.806
Pm 2.568 2.516 0.935
Pm 3.817 8.544 2.806
Pm 9.307 0.967 0.935
Pm 7.279 7.577 0.935
Sm -2.629 6.756 2.806
Sm 1.849 5.405 2.806
Sm 5.605 1.101 0.935
Sm 0.780 9.958 2.806
Sm 4.536 5.655 0.935
Sm 9.014 4.304 0.935
CELL_PARAMETERS angstrom
12.770 0.000 0.000
-6.385 11.059 0.000
0.000 0.000 3.741
! Mass density: 6.44 Mg/m³
! Symmetry: P6_3/m, No. 176
! E above lowest polymorph: 0.068 eV/atom
! Formation enthalpy at 0 K: 27.4 kJ per mole of atoms
! Total magnetization: 0.000 μB/atom



! ScBeRe3, optimized geometry, DFT PBE; values from VASP
&SYSTEM
  ibrav = 0, nat = 5, ntyp = 3
/
ATOMIC_SPECIES
Sc 44.96 Sc.upf
Be 9.01 Be.upf
Re 186.21 Re.upf
ATOMIC_POSITIONS angstrom
Sc 0.000 0.000 0.000
Be 2.286 2.286 2.286
Re 0.000 0.000 2.286
Re 0.000 2.286 0.000
Re 2.286 0.000 0.000
CELL_PARAMETERS angstrom
4.572 0.000 0.000
0.000 4.572 0.000
0.000 0.000 4.572
! Mass density: 10.65 Mg/m³
! Symmetry: Pm-3m, No. 221
! E above lowest polymorph: 2.220 eV/atom
! Formation enthalpy at 0 K: 262.5 kJ per mole of atoms
! Total magnetization: 0.000 μB/atom



no.,DFT total energy (eV/cell)
1,-122.9
2,-62.7
3,-33.8